VASP calculation (PBE-GGA) on a relaxed NaBeZnF6 crystal.

The value obtained for the density of states at the Fermi level is 0.6371 states/eV/atom. The total energy comes out at -4.335 eV/atom. As for the formation energy from raw total energies: -2.39 eV/atom. The calculation puts the size of the total moment at 0.1164 μB/atom.

It has space group P-31c (No. 163), with a = 4.9740 Å, b = 4.9740 Å, c = 9.9168 Å, α = 90.00°, β = 90.00° and γ = 120.00°. The distinct sites, in fractional coordinates, are Na at (0.0000, 0.0000, 0.0000), Be at (0.3333, 0.6667, 0.2500), Zn at (0.3333, 0.6667, 0.7500) and F at (0.0336, 0.3886, 0.1468).

***

VASP calculation (PBE-GGA) on a relaxed BeNb2F2 crystal.

As for the energy above the most stable polymorph in this dataset: 0.000 eV/atom. The value obtained for the density of states at the Fermi level is 0.8874 states/eV/atom. The total energy comes out at -6.629 eV/atom. As for the formation energy from raw total energies: -1.11 eV/atom. The calculation puts the size of the total moment at 0.0000 μB/atom.

It has space group I4/mmm (No. 139), with a = 3.2177 Å, b = 3.2177 Å, c = 12.0987 Å, α = 90.00°, β = 90.00° and γ = 90.00°. The distinct sites, in fractional coordinates, are Be at (0.0000, 0.0000, 0.0000), Nb at (0.0000, 0.0000, 0.3858) and F at (0.0000, 0.5000, 0.2500).

***

Which value of size of the total moment does entry 2 give? 0.0000 μB/atom